[1]
! LuInGeTe3 (GGA-PBE, relaxed); values from VASP
&SYSTEM
  ibrav = 0, nat = 12, ntyp = 4
/
ATOMIC_SPECIES
Ge 72.64 Ge.upf
In 114.82 In.upf
Lu 174.97 Lu.upf
Te 127.60 Te.upf
CELL_PARAMETERS angstrom
-0.8314 7.3065 -2.6141
-3.2983 -5.8892 3.9177
4.4616 4.0060 9.7783
ATOMIC_POSITIONS angstrom
Ge -2.0967 -4.4268 6.1341
Ge 2.4286 9.8501 4.9478
In -0.3258 5.0463 1.4450
In 0.6576 0.3770 9.6368
Lu -2.0648 0.7087 0.6518
Lu 0.1659 2.7117 5.5409
Te -2.7660 -3.8978 3.4389
Te -1.1528 0.6222 3.6349
Te -0.9198 -2.2402 7.4851
Te 1.2517 7.6635 3.5968
Te 1.4847 4.8011 7.4470
Te 3.0979 9.3212 7.6430
! * total moment: 0.0 Bohr magnetons per cell
! * VASP energy: -4.0743 eV/atom

[2]
! PmMg2Cu9 (GGA-PBE, relaxed); values from VASP
&SYSTEM
  ibrav = 0, nat = 12, ntyp = 3
/
ATOMIC_SPECIES
Cu 63.55 Cu.upf
Mg 24.30 Mg.upf
Pm 145.00 Pm.upf
CELL_PARAMETERS angstrom
2.5236 1.4570 8.0323
-2.5236 1.4570 8.0323
0.0000 -2.9140 8.0323
ATOMIC_POSITIONS angstrom
Cu 0.0000 1.4693 10.0831
Cu 0.0000 0.0000 8.0281
Cu 1.2725 0.7347 14.0139
Cu -1.2725 0.7347 14.0139
Cu 0.0000 0.0000 12.0485
Cu 1.2725 -0.7347 10.0831
Cu -1.2725 -0.7347 10.0831
Cu 0.0000 0.0000 16.0689
Cu 0.0000 -1.4693 14.0139
Mg 0.0000 0.0000 3.5081
Mg 0.0000 0.0000 20.5889
Pm 0.0000 0.0000 0.0000
! * total moment: 0.0 Bohr magnetons per cell
! * VASP energy: -3.6125 eV/atom

[3]
! Sc2NbGe (GGA-PBE, relaxed); values from VASP
&SYSTEM
  ibrav = 0, nat = 4, ntyp = 3
/
ATOMIC_SPECIES
Ge 72.64 Ge.upf
Nb 92.91 Nb.upf
Sc 44.96 Sc.upf
CELL_PARAMETERS angstrom
0.0000 3.3473 3.3473
3.3473 0.0000 3.3473
3.3473 3.3473 0.0000
ATOMIC_POSITIONS angstrom
Ge 3.3473 3.3473 3.3473
Nb 1.6737 1.6737 1.6737
Sc 0.0000 0.0000 0.0000
Sc 5.0209 5.0209 5.0209
! * total moment: 1.1 Bohr magnetons per cell
! * VASP energy: -6.9398 eV/atom

[4]
! RbNbCl3 (GGA-PBE, relaxed); values from VASP
&SYSTEM
  ibrav = 0, nat = 5, ntyp = 3
/
ATOMIC_SPECIES
Cl 35.45 Cl.upf
Nb 92.91 Nb.upf
Rb 85.47 Rb.upf
CELL_PARAMETERS angstrom
-2.2961 -3.7968 -2.6129
1.5272 -3.3811 3.5709
-4.3926 0.8256 2.6604
ATOMIC_POSITIONS angstrom
Cl -0.6830 -3.5328 0.6598
Cl -3.7837 -1.4030 0.2898
Cl -1.8720 -1.1952 3.3817
Nb -2.8434 -3.1268 1.9683
Rb -0.3172 0.0596 0.1921
! * total moment: 3.0 Bohr magnetons per cell
! * VASP energy: -4.4774 eV/atom

[5]
! NaSbPt (GGA-PBE, relaxed); values from VASP
&SYSTEM
  ibrav = 0, nat = 3, ntyp = 3
/
ATOMIC_SPECIES
Na 22.99 Na.upf
Pt 195.08 Pt.upf
Sb 121.76 Sb.upf
CELL_PARAMETERS angstrom
0.0000 3.2057 3.2057
3.2057 0.0000 3.2057
3.2057 3.2057 0.0000
ATOMIC_POSITIONS angstrom
Na 0.0000 0.0000 0.0000
Pt 1.6028 1.6028 1.6028
Sb 4.8085 4.8085 4.8085
! * total moment: 0.0 Bohr magnetons per cell
! * VASP energy: -3.5266 eV/atom

[6]
! Tb2HoCu4Si2Sn2 (GGA-PBE, relaxed); values from VASP
&SYSTEM
  ibrav = 0, nat = 11, ntyp = 5
/
ATOMIC_SPECIES
Cu 63.55 Cu.upf
Ho 164.93 Ho.upf
Si 28.09 Si.upf
Sn 118.71 Sn.upf
Tb 158.93 Tb.upf
CELL_PARAMETERS angstrom
-2.1681 3.3128 7.1962
2.1681 -3.3128 7.1962
2.1681 3.3128 -7.1962
ATOMIC_POSITIONS angstrom
Cu 0.0000 2.0559 4.9896
Cu 0.0000 2.0559 9.4028
Cu 2.1681 1.2569 2.2066
Cu 2.1681 1.2569 -2.2066
Ho 0.0000 0.0000 0.0000
Si 0.0000 1.2069 7.1962
Si 2.1681 2.1059 0.0000
Sn 0.0000 0.0000 3.1311
Sn 0.0000 0.0000 11.2613
Tb 0.0000 3.3128 1.7927
Tb 2.1681 0.0000 5.4035
! * total moment: 0.0 Bohr magnetons per cell
! * VASP energy: -4.9179 eV/atom
! * E above lowest polymorph: 0.00 eV per formula unit

[7]
! CdNiBOs (GGA-PBE, relaxed); values from VASP
&SYSTEM
  ibrav = 0, nat = 4, ntyp = 4
/
ATOMIC_SPECIES
B 10.81 B.upf
Cd 112.41 Cd.upf
Ni 58.69 Ni.upf
Os 190.23 Os.upf
CELL_PARAMETERS angstrom
0.0000 2.9359 2.9359
2.9359 0.0000 2.9359
2.9359 2.9359 0.0000
ATOMIC_POSITIONS angstrom
B 0.0000 0.0000 0.0000
Cd 4.4038 4.4038 4.4038
Ni 2.9359 2.9359 2.9359
Os 1.4679 1.4679 1.4679
! * total moment: 0.0 Bohr magnetons per cell
! * VASP energy: -5.3333 eV/atom

[8]
! TmLuSbC (GGA-PBE, relaxed); values from VASP
&SYSTEM
  ibrav = 0, nat = 8, ntyp = 4
/
ATOMIC_SPECIES
C 12.01 C.upf
Lu 174.97 Lu.upf
Sb 121.76 Sb.upf
Tm 168.93 Tm.upf
CELL_PARAMETERS angstrom
3.5882 0.0000 0.0000
-1.7941 3.1075 0.0000
0.0000 0.0000 14.8800
ATOMIC_POSITIONS angstrom
C 0.0000 0.0000 7.4236
C 0.0000 0.0000 14.8636
Lu 1.7941 1.0358 6.1592
Lu 0.0000 2.0717 13.5992
Sb 0.0000 2.0717 3.7302
Sb 1.7941 1.0358 11.1702
Tm 1.7941 1.0358 1.2870
Tm 0.0000 2.0717 8.7270
! * total moment: 0.0 Bohr magnetons per cell
! * VASP energy: -6.2834 eV/atom